DFT (PBE) results for a relaxed Ca3AgPd8 crystal.

Computed properties:
DFT formation energy in eV/atom: -0.55
Fermi-level density of states in states/eV/atom: 0.5314

a b c (Å): 5.4199 5.4199 26.5227
angles (deg): 90.00 90.00 120.00
Space group R3m (No. 160, hexagonal axes)
Inequivalent atoms, fractional coordinates:
1 Ca 0.0000 0.0000 0.0000 x3
2 Ca 0.0000 0.0000 0.1294 x3
3 Ca 0.0000 0.0000 0.6163 x3
4 Ag 0.0000 0.0000 0.4954 x3
5 Pd 0.0000 0.0000 0.3117 x3
6 Pd 0.0000 0.0000 0.8118 x3
7 Pd 0.0001 0.5001 0.0620 x9
8 Pd 0.0004 0.5002 0.5614 x9